DFT (PBE) results for crystalline Tm3SbPt12 at its relaxed geometry.

a = 4.088 Å, b = 4.088 Å, c = 16.353 Å
α = 90.00°, β = 90.00°, γ = 90.00°
Element x y z (fractional)
Tm  0.000  0.000  0.000
Tm  0.000  0.000  0.248
Tm  0.000  0.000  0.752
Sb  0.000  0.000  0.500
Pt  0.000  0.500  0.125
Pt  0.000  0.500  0.376
Pt  0.000  0.500  0.624
Pt  0.000  0.500  0.875
Pt  0.500  0.000  0.125
Pt  0.500  0.000  0.376
Pt  0.500  0.000  0.624
Pt  0.500  0.000  0.875
Pt  0.500  0.500  0.000
Pt  0.500  0.500  0.252
Pt  0.500  0.500  0.500
Pt  0.500  0.500  0.748

Output
Magnetic moment (μB per formula unit): 0.00
Volume (Å³/cell): 273.32
E_form (uncorrected) (meV per atom): -874.1
VASP energy (eV/atom): -6.501

---

DFT (PBE) results for crystalline TbNdZn2 at its relaxed geometry.

a = 3.622 Å, b = 3.622 Å, c = 7.316 Å
α = 90.00°, β = 90.00°, γ = 90.00°
Element x y z (fractional)
Tb  0.000  0.000  0.000
Nd  0.000  0.000  0.500
Zn  0.500  0.500  0.234
Zn  0.500  0.500  0.766

Output
Magnetic moment (μB per formula unit): 0.00
Formation energy from the elements (kJ/mol of formula units): -123
Volume (Å³/cell): 95.98
VASP energy (eV/atom): -3.306

---

DFT (PBE) results for crystalline VNi8Ge2 at its relaxed geometry.

a = 6.357 Å, b = 6.357 Å, c = 4.054 Å
α = 100.90°, β = 100.90°, γ = 117.98°
Element x y z (fractional)
V  0.000  0.000  0.000
Ni  0.086  0.310  0.610
Ni  0.215  0.785  0.000
Ni  0.310  0.086  0.610
Ni  0.387  0.387  0.185
Ni  0.613  0.613  0.815
Ni  0.690  0.914  0.390
Ni  0.785  0.215  0.000
Ni  0.914  0.690  0.390
Ge  0.311  0.689  0.500
Ge  0.689  0.311  0.500

Output
Magnetic moment (μB per formula unit): 0.00
Formation energy from the elements (kJ/mol of formula units): -103
Volume (Å³/cell): 134.59
VASP energy (eV/atom): -5.970

---

DFT (PBE) results for crystalline Dy5YHo2In at its relaxed geometry.

a = 10.307 Å, b = 10.307 Å, c = 10.557 Å
α = 90.00°, β = 90.00°, γ = 149.89°
Element x y z (fractional)
Dy  0.000  0.000  0.000
Dy  0.000  0.000  0.500
Dy  0.116  0.884  0.750
Dy  0.210  0.790  0.049
Dy  0.210  0.790  0.451
Dy  0.487  0.513  0.750
Dy  0.513  0.487  0.250
Dy  0.790  0.210  0.549
Dy  0.790  0.210  0.951
Dy  0.884  0.116  0.250
Y  0.294  0.706  0.750
Y  0.706  0.294  0.250
Ho  0.384  0.616  0.043
Ho  0.384  0.616  0.457
Ho  0.616  0.384  0.543
Ho  0.616  0.384  0.957
In  0.095  0.905  0.250
In  0.905  0.095  0.750

Output
Magnetic moment (μB per formula unit): 0.00
Formation energy from the elements (kJ/mol of formula units): -3
Volume (Å³/cell): 562.68
VASP energy (eV/atom): -4.600

---

DFT (PBE) results for crystalline Nd2GdSb at its relaxed geometry.

a = 4.163 Å, b = 4.163 Å, c = 7.186 Å
α = 90.00°, β = 90.00°, γ = 90.00°
Element x y z (fractional)
Nd  0.000  0.000  0.223
Nd  0.000  0.000  0.777
Gd  0.500  0.500  0.500
Sb  0.500  0.500  0.000

Output
E above lowest polymorph (eV per atom): 0.0346
Magnetic moment (μB per formula unit): 8.50
Volume (Å³/cell): 124.55
E_form (uncorrected) (meV per atom): -505.5
VASP energy (eV/atom): -7.440

---

DFT (PBE) results for crystalline Pr6Ge2Pd at its relaxed geometry.

a = 6.469 Å, b = 8.225 Å, c = 12.046 Å
α = 90.00°, β = 121.82°, γ = 90.00°
Element x y z (fractional)
Pr  0.064  0.184  0.437
Pr  0.064  0.316  0.937
Pr  0.298  0.666  0.442
Pr  0.298  0.834  0.942
Pr  0.376  0.039  0.238
Pr  0.376  0.461  0.738
Pr  0.624  0.539  0.262
Pr  0.624  0.961  0.762
Pr  0.702  0.166  0.058
Pr  0.702  0.334  0.558
Pr  0.936  0.684  0.063
Pr  0.936  0.816  0.563
Ge  0.166  0.120  0.748
Ge  0.166  0.380  0.248
Ge  0.834  0.620  0.752
Ge  0.834  0.880  0.252
Pd  0.500  0.000  0.500
Pd  0.500  0.500  0.000

Output
Magnetic moment (μB per formula unit): 0.00
Formation energy from the elements (kJ/mol of formula units): -413
Volume (Å³/cell): 544.63
VASP energy (eV/atom): -5.265

---

DFT (PBE) results for crystalline RbNaIn2Hg4 at its relaxed geometry.

a = 11.140 Å, b = 11.140 Å, c = 11.140 Å
α = 26.57°, β = 26.57°, γ = 26.57°
Element x y z (fractional)
Rb  0.000  0.000  0.000
Na  0.500  0.500  0.500
In  0.234  0.234  0.234
In  0.766  0.766  0.766
Hg  0.135  0.135  0.135
Hg  0.399  0.399  0.399
Hg  0.601  0.601  0.601
Hg  0.865  0.865  0.865

Output
Magnetic moment (μB per formula unit): 0.00
Formation energy from the elements (kJ/mol of formula units): -128
Volume (Å³/cell): 243.80
VASP energy (eV/atom): -1.287

---

DFT (PBE) results for crystalline CaZrRh2 at its relaxed geometry.

a = 6.015 Å, b = 6.015 Å, c = 6.015 Å
α = 105.62°, β = 105.62°, γ = 117.48°
Element x y z (fractional)
Ca  0.000  0.000  0.000
Ca  0.750  0.250  0.500
Zr  0.250  0.750  0.500
Zr  0.500  0.500  0.000
Rh  0.152  0.625  0.027
Rh  0.375  0.402  0.527
Rh  0.598  0.125  0.973
Rh  0.875  0.848  0.473

Output
E above lowest polymorph (eV per atom): 0.4556
Magnetic moment (μB per formula unit): 0.00
Formation energy from the elements (kJ/mol of formula units): -89
Volume (Å³/cell): 165.05
VASP energy (eV/atom): -6.545